Below is HoTm3Mg4 after structural relaxation, with properties calculated at the PBE level.

Results
The calculation puts the density at 5.7 Mg/m³. Its formation energy is 0.0906 eV per atom. The excess energy over the best structure of this formula in the dataset comes out at 155 meV/atom. For the total magnetization, the calculation gives 0.00 μB/f.u.

a = 11.3920 Å, b = 11.3920 Å, c = 11.3920 Å
α = 163.58°, β = 147.73°, γ = 36.41°
Fractional coordinates of all 8 atoms:
Ho1 0.0000 0.0000 0.0000
Tm1 0.2366 0.7366 0.5000
Tm2 0.5000 0.5000 0.0000
Tm3 0.7634 0.2634 0.5000
Mg1 0.1336 0.8741 0.2595
Mg2 0.3854 0.1259 0.2595
Mg3 0.6146 0.8741 0.7405
Mg4 0.8664 0.1259 0.7405

Below is Ho3Tm4Mg after structural relaxation, with properties calculated at the PBE level.

Results
The calculation puts the density at 8.4 Mg/m³. Its formation energy is 0.0006 eV per atom. The excess energy over the best structure of this formula in the dataset comes out at 0 meV/atom. For the total magnetization, the calculation gives 0.00 μB/f.u.

a = 11.1019 Å, b = 7.0121 Å, c = 6.1037 Å
α = 90.00°, β = 90.00°, γ = 90.00°
Fractional coordinates of all 16 atoms:
Ho1 0.0000 0.1281 0.0000
Ho2 0.2453 0.1225 0.3402
Ho3 0.2547 0.8775 0.8402
Ho4 0.5000 0.8719 0.5000
Ho5 0.7453 0.8775 0.8402
Ho6 0.7547 0.1225 0.3402
Tm1 0.0000 0.3772 0.5205
Tm2 0.0000 0.6238 0.0049
Tm3 0.2463 0.6254 0.3483
Tm4 0.2537 0.3746 0.8483
Tm5 0.5000 0.3762 0.5049
Tm6 0.5000 0.6228 0.0205
Tm7 0.7463 0.3746 0.8483
Tm8 0.7537 0.6254 0.3483
Mg1 0.0000 0.8745 0.5084
Mg2 0.5000 0.1255 0.0084

Below is Ho2TmMg after structural relaxation, with properties calculated at the PBE level.

Results
The calculation puts the density at 7.5 Mg/m³. Its formation energy is -0.0273 eV per atom. The excess energy over the best structure of this formula in the dataset comes out at 0 meV/atom. For the total magnetization, the calculation gives 0.00 μB/f.u.

a = 4.9998 Å, b = 4.9998 Å, c = 9.9105 Å
α = 104.53°, β = 104.53°, γ = 90.07°
Fractional coordinates of all 8 atoms:
Ho1 0.0000 0.5000 0.0000
Ho2 0.1304 0.1304 0.2609
Ho3 0.5000 0.0000 0.0000
Ho4 0.8696 0.8696 0.7391
Tm1 0.3688 0.3688 0.7373
Tm2 0.6312 0.6312 0.2627
Mg1 0.2499 0.7501 0.5000
Mg2 0.7501 0.2499 0.5000

Below is Ho7Tm4Mg after structural relaxation, with properties calculated at the PBE level.

Results
The calculation puts the density at 8.5 Mg/m³. Its formation energy is 0.0939 eV per atom. The excess energy over the best structure of this formula in the dataset comes out at 0 meV/atom. For the total magnetization, the calculation gives 0.00 μB/f.u.

a = 5.5217 Å, b = 5.5217 Å, c = 13.7820 Å
α = 90.00°, β = 90.00°, γ = 120.00°
Fractional coordinates of all 12 atoms:
Ho1 0.0000 0.0000 0.0000
Ho2 0.0000 0.0000 0.2654
Ho3 0.0000 0.0000 0.7346
Ho4 0.3333 0.6667 0.1718
Ho5 0.3333 0.6667 0.4235
Ho6 0.6667 0.3333 0.5765
Ho7 0.6667 0.3333 0.8282
Tm1 0.3333 0.6667 0.6814
Tm2 0.3333 0.6667 0.9256
Tm3 0.6667 0.3333 0.0744
Tm4 0.6667 0.3333 0.3186
Mg1 0.0000 0.0000 0.5000